# 1
The following is a DFT calculation (GGA-PBE) of crystalline TlOs2Br at its relaxed geometry.

```
data_TlOs2Br
_chemical_formula_sum 'Tl2 Os4 Br2'
_cell_length_a 2.937
_cell_length_b 5.348
_cell_length_c 9.222
_cell_angle_alpha 90.00
_cell_angle_beta 90.00
_cell_angle_gamma 90.00
_symmetry_space_group_name_H-M 'C m m m'
_symmetry_Int_Tables_number 65
_symmetry_space_group_name_Hall '-C 2 2'
loop_
_atom_site_label
_atom_site_type_symbol
_atom_site_fract_x
_atom_site_fract_y
_atom_site_fract_z
Tl1 Tl 0.000 0.000 0.000
Os1 Os 0.000 0.500 0.258
Br1 Br 0.000 0.000 0.500
```

Computed properties:
Energy relative to the lowest polymorph listed for this composition ... 3.45 eV per formula unit
Formation energy from raw total energies ... 1.403 eV per atom


# 2
The following is a DFT calculation (GGA-PBE) of crystalline Mn3CrH2 at its relaxed geometry.

```
data_Mn3CrH2
_chemical_formula_sum 'Mn12 Cr4 H8'
_cell_length_a 9.419
_cell_length_b 2.577
_cell_length_c 8.896
_cell_angle_alpha 90.00
_cell_angle_beta 118.29
_cell_angle_gamma 90.00
_symmetry_space_group_name_H-M 'C 1 2/m 1'
_symmetry_Int_Tables_number 12
loop_
_symmetry_equiv_pos_as_xyz
'x,y,z'
'-x,-y,-z'
'-x,y,-z'
'x,-y,z'
'x+1/2,y+1/2,z'
'-x+1/2,-y+1/2,-z'
'-x+1/2,y+1/2,-z'
'x+1/2,-y+1/2,z'
loop_
_atom_site_label
_atom_site_type_symbol
_atom_site_fract_x
_atom_site_fract_y
_atom_site_fract_z
Mn1 Mn 0.113 0.000 0.223
Mn2 Mn 0.114 0.500 0.975
Mn3 Mn 0.119 0.500 0.475
Cr1 Cr 0.112 0.000 0.722
H1 H 0.250 0.000 0.123
H2 H 0.250 0.000 0.625
```

Computed properties:
Total DFT energy (no corrections) ... -7.35 eV per atom


# 3
The following is a DFT calculation (GGA-PBE) of crystalline Tm2BSbRh6 at its relaxed geometry.

```
data_Tm2BSbRh6
_chemical_formula_sum 'Tm2 B1 Sb1 Rh6'
_cell_length_a 4.582
_cell_length_b 4.582
_cell_length_c 8.791
_cell_angle_alpha 90.00
_cell_angle_beta 90.00
_cell_angle_gamma 90.00
_symmetry_space_group_name_H-M 'P 4/m m m'
_symmetry_Int_Tables_number 123
_symmetry_space_group_name_Hall '-P 4 2'
loop_
_atom_site_label
_atom_site_type_symbol
_atom_site_fract_x
_atom_site_fract_y
_atom_site_fract_z
Tm1 Tm 0.000 0.000 0.230
B1 B 0.500 0.500 0.000
Sb1 Sb 0.500 0.500 0.500
Rh1 Rh 0.000 0.500 0.000
Rh2 Rh 0.000 0.500 0.500
Rh3 Rh 0.500 0.500 0.220
```

Computed properties:
Formation energy from raw total energies ... -0.246 eV per atom


# 4
The following is a DFT calculation (GGA-PBE) of crystalline HgTeIr2 at its relaxed geometry.

```
data_HgTeIr2
_chemical_formula_sum 'Hg1 Te1 Ir2'
_cell_length_a 2.990
_cell_length_b 3.847
_cell_length_c 7.181
_cell_angle_alpha 90.00
_cell_angle_beta 90.00
_cell_angle_gamma 90.00
_symmetry_space_group_name_H-M 'P m m 2'
_symmetry_Int_Tables_number 25
loop_
_symmetry_equiv_pos_as_xyz
'x,y,z'
'-x,-y,z'
'-x,y,z'
'x,-y,z'
loop_
_atom_site_label
_atom_site_type_symbol
_atom_site_fract_x
_atom_site_fract_y
_atom_site_fract_z
Hg1 Hg 0.000 0.000 0.000
Te1 Te 0.500 0.500 0.589
Ir1 Ir 0.000 0.000 0.416
Ir2 Ir 0.500 0.500 0.212
```

Computed properties:
Energy relative to the lowest polymorph listed for this composition ... 0.00 eV per formula unit
Formation energy from raw total energies ... 0.408 eV per atom


# 5
The following is a DFT calculation (GGA-PBE) of crystalline Th4BiPtSe2 at its relaxed geometry.

```
data_Th4BiPtSe2
_chemical_formula_sum 'Th4 Bi1 Pt1 Se2'
_cell_length_a 7.413
_cell_length_b 4.220
_cell_length_c 7.785
_cell_angle_alpha 90.00
_cell_angle_beta 108.57
_cell_angle_gamma 90.00
_symmetry_space_group_name_H-M 'P 1 2/m 1'
_symmetry_Int_Tables_number 10
loop_
_symmetry_equiv_pos_as_xyz
'x,y,z'
'-x,-y,-z'
'-x,y,-z'
'x,-y,z'
loop_
_atom_site_label
_atom_site_type_symbol
_atom_site_fract_x
_atom_site_fract_y
_atom_site_fract_z
Th1 Th 0.234 0.000 0.227
Th2 Th 0.264 0.500 0.777
Bi1 Bi 0.500 0.500 0.500
Pt1 Pt 0.500 0.000 0.000
Se1 Se 0.000 0.000 0.500
Se2 Se 0.000 0.500 0.000
```

Computed properties:
Formation energy from raw total energies ... -1.171 eV per atom


# 6
The following is a DFT calculation (GGA-PBE) of crystalline TaIBr2 at its relaxed geometry.

```
data_TaIBr2
_chemical_formula_sum 'Ta4 I4 Br8'
_cell_length_a 9.242
_cell_length_b 9.242
_cell_length_c 5.857
_cell_angle_alpha 90.00
_cell_angle_beta 90.00
_cell_angle_gamma 90.00
_symmetry_space_group_name_H-M 'I -4 2 d'
_symmetry_Int_Tables_number 122
_symmetry_space_group_name_Hall 'I -4 2bw'
loop_
_atom_site_label
_atom_site_type_symbol
_atom_site_fract_x
_atom_site_fract_y
_atom_site_fract_z
Ta1 Ta 0.000 0.000 0.000
I1 I 0.000 0.000 0.500
Br1 Br 0.118 0.250 0.125
```

Computed properties:
Energy relative to the lowest polymorph listed for this composition ... 2.01 eV per formula unit
Formation energy from raw total energies ... -0.119 eV per atom


# 7
The following is a DFT calculation (GGA-PBE) of crystalline Ac4NiPdBr2 at its relaxed geometry.

```
data_Ac4NiPdBr2
_chemical_formula_sum 'Ac4 Ni1 Pd1 Br2'
_cell_length_a 7.603
_cell_length_b 4.415
_cell_length_c 8.624
_cell_angle_alpha 90.00
_cell_angle_beta 107.13
_cell_angle_gamma 90.00
_symmetry_space_group_name_H-M 'P 1 2/m 1'
_symmetry_Int_Tables_number 10
loop_
_symmetry_equiv_pos_as_xyz
'x,y,z'
'-x,-y,-z'
'-x,y,-z'
'x,-y,z'
loop_
_atom_site_label
_atom_site_type_symbol
_atom_site_fract_x
_atom_site_fract_y
_atom_site_fract_z
Ac1 Ac 0.225 0.000 0.193
Ac2 Ac 0.258 0.500 0.806
Ni1 Ni 0.000 0.500 0.000
Pd1 Pd 0.500 0.000 0.000
Br1 Br 0.000 0.000 0.500
Br2 Br 0.500 0.500 0.500
```

Computed properties:
Formation energy from raw total energies ... -0.965 eV per atom


# 8
The following is a DFT calculation (GGA-PBE) of crystalline Ho2ZrSc at its relaxed geometry.

```
data_Ho2ZrSc
_chemical_formula_sum 'Ho6 Zr3 Sc3'
_cell_length_a 3.3706
_cell_length_b 3.3706
_cell_length_c 32.8937
_cell_angle_alpha 90.00
_cell_angle_beta 90.00
_cell_angle_gamma 120.00
_symmetry_space_group_name_H-M 'R -3 m'
_symmetry_Int_Tables_number 166
_symmetry_space_group_name_Hall '-R 3 2"'
loop_
_atom_site_label
_atom_site_type_symbol
_atom_site_fract_x
_atom_site_fract_y
_atom_site_fract_z
Ho1 Ho 0.0000 0.0000 0.2482
Zr1 Zr 0.0000 0.0000 0.5000
Sc1 Sc 0.0000 0.0000 0.0000
```

Computed properties:
Energy relative to the lowest polymorph listed for this composition ... 0.04 eV per formula unit


# 9
The following is a DFT calculation (GGA-PBE) of crystalline MnCr2Rh at its relaxed geometry.

```
data_MnCr2Rh
_chemical_formula_sum 'Mn2 Cr4 Rh2'
_cell_length_a 5.197
_cell_length_b 7.321
_cell_length_c 2.621
_cell_angle_alpha 90.00
_cell_angle_beta 90.00
_cell_angle_gamma 90.00
_symmetry_space_group_name_H-M 'C m m m'
_symmetry_Int_Tables_number 65
_symmetry_space_group_name_Hall '-C 2 2'
loop_
_atom_site_label
_atom_site_type_symbol
_atom_site_fract_x
_atom_site_fract_y
_atom_site_fract_z
Mn1 Mn 0.000 0.000 0.000
Cr1 Cr 0.250 0.250 0.500
Rh1 Rh 0.000 0.500 0.000
```

Computed properties:
Energy relative to the lowest polymorph listed for this composition ... 0.32 eV per formula unit


# 10
The following is a DFT calculation (GGA-PBE) of crystalline Ce2AlS5 at its relaxed geometry.

```
data_Ce2AlS5
_chemical_formula_sum 'Ce8 Al4 S20'
_cell_length_a 11.465
_cell_length_b 8.456
_cell_length_c 8.333
_cell_angle_alpha 90.00
_cell_angle_beta 97.01
_cell_angle_gamma 90.00
_symmetry_space_group_name_H-M 'P 1 21/c 1'
_symmetry_Int_Tables_number 14
loop_
_symmetry_equiv_pos_as_xyz
'x,y,z'
'-x,-y,-z'
'-x,y+1/2,-z+1/2'
'x,-y+1/2,z+1/2'
loop_
_atom_site_label
_atom_site_type_symbol
_atom_site_fract_x
_atom_site_fract_y
_atom_site_fract_z
Ce1 Ce 0.037 0.114 0.243
Ce2 Ce 0.356 0.158 0.966
Al1 Al 0.296 0.605 0.976
S1 S 0.099 0.649 0.967
S2 S 0.111 0.112 0.913
S3 S 0.283 0.073 0.268
S4 S 0.379 0.071 0.654
S5 S 0.400 0.671 0.484
```

Computed properties:
Energy relative to the lowest polymorph listed for this composition ... 0.00 eV per formula unit
Formation energy from raw total energies ... -1.603 eV per atom


# 11
The following is a DFT calculation (GGA-PBE) of crystalline PuCdAs at its relaxed geometry.

```
data_PuCdAs
_chemical_formula_sum 'Pu4 Cd4 As4'
_cell_length_a 5.350
_cell_length_b 5.388
_cell_length_c 9.587
_cell_angle_alpha 90.00
_cell_angle_beta 90.00
_cell_angle_gamma 90.00
_symmetry_space_group_name_H-M 'C m m m'
_symmetry_Int_Tables_number 65
_symmetry_space_group_name_Hall '-C 2 2'
loop_
_atom_site_label
_atom_site_type_symbol
_atom_site_fract_x
_atom_site_fract_y
_atom_site_fract_z
Pu1 Pu 0.000 0.000 0.159
Cd1 Cd 0.000 0.500 0.353
As1 As 0.000 0.000 0.500
As2 As 0.000 0.500 0.000
```

Computed properties:
Energy relative to the lowest polymorph listed for this composition ... 0.00 eV per formula unit


# 12
The following is a DFT calculation (GGA-PBE) of crystalline Th8FePb2 at its relaxed geometry.

```
data_Th8FePb2
_chemical_formula_sum 'Th16 Fe2 Pb4'
_cell_length_a 18.307
_cell_length_b 5.620
_cell_length_c 6.778
_cell_angle_alpha 90.00
_cell_angle_beta 109.08
_cell_angle_gamma 90.00
_symmetry_space_group_name_H-M 'C 1 2/m 1'
_symmetry_Int_Tables_number 12
loop_
_symmetry_equiv_pos_as_xyz
'x,y,z'
'-x,-y,-z'
'-x,y,-z'
'x,-y,z'
'x+1/2,y+1/2,z'
'-x+1/2,-y+1/2,-z'
'-x+1/2,y+1/2,-z'
'x+1/2,-y+1/2,z'
loop_
_atom_site_label
_atom_site_type_symbol
_atom_site_fract_x
_atom_site_fract_y
_atom_site_fract_z
Th1 Th 0.000 0.000 0.233
Th2 Th 0.085 0.500 0.743
Th3 Th 0.133 0.500 0.289
Th4 Th 0.222 0.000 0.125
Fe1 Fe 0.000 0.500 0.000
Pb1 Pb 0.172 0.000 0.607
```

Computed properties:
Total DFT energy (no corrections) ... -6.87 eV per atom